{
  "formula": "Cs6InHg4",
  "functional": "PBE",
  "state": "optimized geometry",
  "lattice_angstrom": [[9.399, 0.000, 0.000], [0.000, 10.664, -6.157], [0.000, 0.000, 12.314]],
  "species": ["Hg", "Hg", "Hg", "Hg", "Hg", "Hg", "Hg", "Hg", "Cs", "Cs", "Cs", "Cs", "Cs", "Cs", "Cs", "Cs", "Cs", "Cs", "Cs", "Cs", "In", "In"],
  "fractional_positions": [[0.345, 0.799, 0.597], [0.423, 0.333, 0.667], [0.923, 0.667, 0.333], [0.345, 0.403, 0.201], [0.845, 0.201, 0.799], [0.845, 0.597, 0.799], [0.345, 0.799, 0.201], [0.845, 0.201, 0.403], [0.138, 0.468, 0.532], [0.638, 0.532, 0.468], [0.138, 0.468, 0.936], [0.638, 0.936, 0.468], [0.959, 0.867, 0.133], [0.959, 0.266, 0.133], [0.459, 0.133, 0.266], [0.459, 0.133, 0.867], [0.638, 0.532, 0.064], [0.959, 0.867, 0.734], [0.459, 0.734, 0.867], [0.138, 0.064, 0.532], [0.241, 0.667, 0.333], [0.741, 0.333, 0.667]],
  "spacegroup": "P6_3mc (186)",
  "e_form_ev_per_atom": -0.18
}

***

{
  "formula": "BaCd3Pd3",
  "functional": "PBE",
  "state": "optimized geometry",
  "lattice_angstrom": [[7.286, 0.000, 0.000], [3.643, 6.310, 0.000], [3.643, 2.103, 6.811]],
  "species": ["Cd", "Cd", "Cd", "Cd", "Cd", "Cd", "Pd", "Pd", "Pd", "Pd", "Pd", "Pd", "Ba", "Ba"],
  "fractional_positions": [[0.255, 0.927, 0.395], [0.073, 0.577, 0.605], [0.927, 0.423, 0.395], [0.745, 0.073, 0.605], [0.577, 0.745, 0.605], [0.423, 0.255, 0.395], [0.058, 0.844, 0.811], [0.942, 0.156, 0.189], [0.287, 0.058, 0.811], [0.844, 0.287, 0.811], [0.156, 0.713, 0.189], [0.713, 0.942, 0.189], [0.348, 0.348, 0.956], [0.652, 0.652, 0.044]],
  "e_above_lowest_polymorph_mev_per_atom": 0.0,
  "spacegroup": "R-3 (148)",
  "e_form_ev_per_atom": -0.29
}

***

{
  "formula": "AgSbTe2",
  "functional": "PBE",
  "state": "optimized geometry",
  "lattice_angstrom": [[5.281, 0.000, 0.000], [2.641, 4.573, 0.000], [2.641, 1.524, 4.312]],
  "species": ["Sb", "Ag", "Te", "Te"],
  "fractional_positions": [[0.250, 0.250, 0.250], [0.500, 0.500, 0.500], [0.000, 0.000, 0.000], [0.750, 0.750, 0.750]],
  "raw_formation_energy_ev_per_atom": 0.33,
  "spacegroup": "F-43m (216)"
}

***

{
  "formula": "MoPRh",
  "functional": "PBE",
  "state": "optimized geometry",
  "lattice_angstrom": [[-1.934, -2.269, 1.076], [3.431, -3.319, -0.833], [4.096, 1.561, 10.654]],
  "species": ["Rh", "Rh", "Rh", "Rh", "P", "P", "P", "P", "Mo", "Mo", "Mo", "Mo"],
  "fractional_positions": [[0.750, 0.545, 0.211], [0.250, 0.045, 0.289], [0.250, 0.455, 0.789], [0.750, 0.955, 0.711], [0.250, 0.011, 0.859], [0.750, 0.989, 0.141], [0.250, 0.489, 0.359], [0.750, 0.511, 0.641], [0.250, 0.229, 0.535], [0.250, 0.271, 0.035], [0.750, 0.729, 0.965], [0.750, 0.771, 0.465]],
  "spacegroup": "Pnma (62)",
  "e_form_ev_per_atom": -0.40
}

***

{
  "formula": "Ac2ErSc",
  "functional": "PBE",
  "state": "optimized geometry",
  "lattice_angstrom": [[-2.495, 0.809, -2.665], [-3.264, -1.820, -0.119], [-6.713, 7.804, 6.032]],
  "species": ["Ac", "Ac", "Er", "Sc"],
  "fractional_positions": [[0.086, 0.086, 0.743], [0.247, 0.247, 0.258], [0.668, 0.668, 0.996], [0.499, 0.499, 0.503]],
  "e_above_lowest_polymorph_mev_per_atom": 69.3,
  "spacegroup": "R3m (160)",
  "e_form_ev_per_atom": 0.15
}

***

{
  "formula": "LaSm3Pd",
  "functional": "PBE",
  "state": "optimized geometry",
  "lattice_angstrom": [[-1.368, -5.167, 1.719], [2.779, -2.187, -4.362], [4.683, -0.212, 3.090]],
  "species": ["Sm", "Sm", "Sm", "La", "Pd"],
  "fractional_positions": [[0.000, 0.500, 0.000], [0.000, 0.000, 0.500], [0.500, 0.000, 0.000], [0.500, 0.500, 0.500], [0.000, 0.000, 0.000]],
  "e_above_lowest_polymorph_mev_per_atom": 191.2,
  "spacegroup": "Pm-3m (221)",
  "e_form_ev_per_atom": -0.13
}

***

Size of the total moment (μB per formula unit)
0.0; 0.0; 0.0; 0.0; 0.0; 0.1
Density of states at the Fermi level (states/eV/f.u.)
5.8; 2.7; 1.7; 2.2; 6.6; 11.7